# 1
The following is a PBE calculation of a relaxed SbPb3Au8 crystal, from the Alexandria database. Values from VASP.

Quantum ESPRESSO input file:
```
&SYSTEM
  ibrav = 0, nat = 12, ntyp = 3
/
ATOMIC_SPECIES
Sb 121.76 Sb.upf
Pb 207.20 Pb.upf
Au 196.97 Au.upf
CELL_PARAMETERS angstrom
2.864 1.653 9.318
-2.864 1.653 9.318
0.000 -3.307 9.318
ATOMIC_POSITIONS angstrom
Sb 0.000 0.000 0.000
Pb 0.000 0.000 3.480
Pb 0.000 0.000 14.108
Pb 0.000 0.000 17.654
Au 0.000 -1.653 6.501
Au -1.431 0.826 6.501
Au -1.430 -0.826 11.160
Au 0.000 0.000 8.829
Au 1.431 0.826 6.501
Au 1.430 -0.826 11.160
Au 0.000 1.651 11.160
Au 0.000 0.000 22.813
```

Properties
Formation energy from raw total energies   -50 meV/atom
DOS at the Fermi energy   2.45 states/eV/f.u.

=====

# 2
The following is a PBE calculation of a relaxed Sb2PbAu5 crystal, from the Alexandria database. Values from VASP.

Quantum ESPRESSO input file:
```
&SYSTEM
  ibrav = 0, nat = 16, ntyp = 3
/
ATOMIC_SPECIES
Sb 121.76 Sb.upf
Pb 207.20 Pb.upf
Au 196.97 Au.upf
CELL_PARAMETERS angstrom
5.035 0.000 0.000
0.000 12.279 0.000
-0.712 0.000 5.966
ATOMIC_POSITIONS angstrom
Sb 0.869 0.878 1.846
Sb 0.869 5.262 1.846
Sb 3.454 7.017 4.120
Sb 3.454 11.401 4.120
Pb 0.855 9.209 3.520
Pb 3.467 3.070 2.445
Au 0.961 7.836 0.689
Au 0.961 10.582 0.689
Au 0.915 0.386 4.621
Au 0.915 5.754 4.621
Au 0.842 3.070 5.933
Au 3.480 9.209 0.033
Au 3.407 6.525 1.344
Au 3.407 11.893 1.344
Au 3.362 1.697 5.277
Au 3.362 4.442 5.277
```

Properties
Formation energy from raw total energies   -4 meV/atom
DOS at the Fermi energy   2.28 states/eV/f.u.

=====

# 3
The following is a PBE calculation of a relaxed Sb3PbAu3 crystal, from the Alexandria database. Values from VASP.

Quantum ESPRESSO input file:
```
&SYSTEM
  ibrav = 0, nat = 14, ntyp = 3
/
ATOMIC_SPECIES
Sb 121.76 Sb.upf
Pb 207.20 Pb.upf
Au 196.97 Au.upf
CELL_PARAMETERS angstrom
7.610 0.000 0.000
0.000 7.610 0.000
0.000 0.000 7.610
ATOMIC_POSITIONS angstrom
Sb 0.000 1.903 3.805
Sb 0.000 5.708 3.805
Sb 1.903 3.805 0.000
Sb 3.805 0.000 1.903
Sb 3.805 0.000 5.708
Sb 5.708 3.805 0.000
Pb 0.000 0.000 0.000
Pb 3.805 3.805 3.805
Au 0.000 3.805 1.903
Au 0.000 3.805 5.708
Au 1.903 0.000 3.805
Au 3.805 1.903 0.000
Au 3.805 5.708 0.000
Au 5.708 0.000 3.805
```

Properties
E above lowest polymorph   250 meV per atom
Formation energy from raw total energies   229 meV/atom
DOS at the Fermi energy   6.35 states/eV/f.u.

=====

# 4
The following is a PBE calculation of a relaxed SbPbAu4 crystal, from the Alexandria database. Values from VASP.

Quantum ESPRESSO input file:
```
&SYSTEM
  ibrav = 0, nat = 6, ntyp = 3
/
ATOMIC_SPECIES
Sb 121.76 Sb.upf
Pb 207.20 Pb.upf
Au 196.97 Au.upf
CELL_PARAMETERS angstrom
2.991 -2.627 0.000
2.991 2.627 0.000
-0.076 0.000 8.513
ATOMIC_POSITIONS angstrom
Sb 0.000 0.000 0.000
Pb 2.952 0.000 4.256
Au 0.202 0.000 2.813
Au 2.464 0.000 7.160
Au 3.441 0.000 1.353
Au 5.703 0.000 5.700
```

Properties
E above lowest polymorph   54 meV per atom
Formation energy from raw total energies   37 meV/atom
DOS at the Fermi energy   2.16 states/eV/f.u.

=====

# 5
The following is a PBE calculation of a relaxed SbPb2Au2 crystal, from the Alexandria database. Values from VASP.

Quantum ESPRESSO input file:
```
&SYSTEM
  ibrav = 0, nat = 10, ntyp = 3
/
ATOMIC_SPECIES
Sb 121.76 Sb.upf
Pb 207.20 Pb.upf
Au 196.97 Au.upf
CELL_PARAMETERS angstrom
6.015 -2.256 0.000
6.015 2.256 0.000
-5.670 0.000 9.569
ATOMIC_POSITIONS angstrom
Sb 0.467 0.000 3.268
Sb 5.893 0.000 6.301
Pb -1.467 0.000 8.691
Pb 3.839 0.000 3.047
Pb 2.521 0.000 6.522
Pb 7.827 0.000 0.878
Au -4.554 0.000 8.611
Au -1.539 0.000 5.380
Au 7.899 0.000 4.189
Au 10.914 0.000 0.957
```

Properties
E above lowest polymorph   0 meV per atom
Formation energy from raw total energies   -61 meV/atom
DOS at the Fermi energy   2.43 states/eV/f.u.

=====

# 6
The following is a PBE calculation of a relaxed SbPb2Au4 crystal, from the Alexandria database. Values from VASP.

Quantum ESPRESSO input file:
```
&SYSTEM
  ibrav = 0, nat = 7, ntyp = 3
/
ATOMIC_SPECIES
Sb 121.76 Sb.upf
Pb 207.20 Pb.upf
Au 196.97 Au.upf
CELL_PARAMETERS angstrom
5.465 0.000 0.000
2.708 4.982 0.000
2.707 -0.253 6.881
ATOMIC_POSITIONS angstrom
Sb 0.000 0.000 0.000
Pb 4.165 2.422 2.034
Pb 6.715 2.306 4.847
Au 1.354 2.491 0.000
Au 4.023 0.780 4.455
Au 2.733 0.000 0.000
Au 6.857 3.948 2.426
```

Properties
Formation energy from raw total energies   31 meV/atom
DOS at the Fermi energy   2.89 states/eV/f.u.

=====

# 7
The following is a PBE calculation of a relaxed Sb5Pb12Au3 crystal, from the Alexandria database. Values from VASP.

Quantum ESPRESSO input file:
```
&SYSTEM
  ibrav = 0, nat = 80, ntyp = 3
/
ATOMIC_SPECIES
Sb 121.76 Sb.upf
Pb 207.20 Pb.upf
Au 196.97 Au.upf
CELL_PARAMETERS angstrom
-8.896 8.896 8.896
8.896 -8.896 8.896
8.896 8.896 -8.896
ATOMIC_POSITIONS angstrom
Sb 0.000 0.000 0.000
Sb 4.448 4.448 -4.448
Sb 4.448 -4.448 4.448
Sb 8.896 0.000 0.000
Sb 13.344 2.224 0.000
Sb 8.896 -4.448 6.672
Sb 6.672 8.896 -4.448
Sb 6.672 0.000 4.448
Sb 4.448 6.672 0.000
Sb 8.896 4.448 2.224
Sb -4.448 4.448 4.448
Sb 0.000 8.896 0.000
Sb 0.000 0.000 8.896
Sb 4.448 4.448 4.448
Sb 0.000 4.448 6.672
Sb 4.448 2.224 8.896
Sb 2.224 8.896 4.448
Sb 2.224 0.000 13.344
Sb 0.000 13.344 2.224
Sb -4.448 6.672 8.896
Pb 8.531 -1.575 2.675
Pb 13.708 -1.773 2.873
Pb 2.675 -0.365 1.575
Pb 10.669 6.023 -4.813
Pb 11.571 0.365 1.575
Pb 10.669 -2.873 4.813
Pb 1.575 2.675 -0.365
Pb 11.769 4.083 -1.773
Pb 6.023 4.813 -1.773
Pb 7.321 2.675 0.365
Pb -0.365 1.575 2.675
Pb 4.813 -1.773 6.023
Pb 8.531 7.321 -2.675
Pb 4.813 1.773 2.873
Pb 7.321 -2.675 8.531
Pb 6.023 -4.813 10.669
Pb 2.873 4.813 1.773
Pb 10.470 6.221 0.365
Pb 2.675 8.531 -1.575
Pb 10.669 2.873 4.083
Pb 1.773 2.873 4.813
Pb 2.675 0.365 7.321
Pb 4.813 10.669 -2.873
Pb 8.531 1.575 6.221
Pb 0.365 7.321 2.675
Pb 4.083 -1.773 11.769
Pb 6.221 8.531 1.575
Pb 7.123 6.023 4.083
Pb -1.773 6.023 4.813
Pb 6.221 0.365 10.470
Pb -1.575 2.675 8.531
Pb 6.023 4.083 7.123
Pb 2.873 13.708 -1.773
Pb 1.575 11.571 0.365
Pb 4.083 7.123 6.023
Pb 0.365 1.575 11.571
Pb 4.083 10.669 2.873
Pb 9.260 7.321 6.221
Pb 1.575 6.221 8.531
Pb 2.873 4.083 10.669
Pb -2.873 4.813 10.669
Pb 7.321 6.221 9.260
Pb -1.773 11.769 4.083
Pb -2.675 8.531 7.321
Pb -1.773 2.873 13.708
Pb 6.221 9.260 7.321
Pb -4.813 10.669 6.023
Pb 0.365 10.470 6.221
Au 4.448 2.224 0.000
Au 8.896 4.448 -2.224
Au 2.224 0.000 4.448
Au 11.120 0.000 4.448
Au 0.000 4.448 2.224
Au 4.448 -2.224 8.896
Au 4.448 11.120 0.000
Au 8.896 4.448 6.672
Au -2.224 8.896 4.448
Au 6.672 8.896 4.448
Au 0.000 4.448 11.120
Au 4.448 6.672 8.896
```

Properties
Formation energy from raw total energies   123 meV/atom
DOS at the Fermi energy   11.25 states/eV/f.u.

=====

# 8
The following is a PBE calculation of a relaxed Sb3Pb2Au5 crystal, from the Alexandria database. Values from VASP.

Quantum ESPRESSO input file:
```
&SYSTEM
  ibrav = 0, nat = 20, ntyp = 3
/
ATOMIC_SPECIES
Sb 121.76 Sb.upf
Pb 207.20 Pb.upf
Au 196.97 Au.upf
CELL_PARAMETERS angstrom
-5.570 5.826 4.016
5.570 -5.826 4.016
5.570 5.826 -4.016
ATOMIC_POSITIONS angstrom
Sb 6.970 1.591 0.000
Sb 0.000 0.000 2.008
Sb 1.401 4.236 0.000
Sb 4.169 1.591 4.016
Sb 0.000 0.000 6.024
Sb -1.401 4.236 4.016
Pb 3.342 1.552 0.000
Pb 3.342 -1.552 4.016
Pb 2.228 7.379 0.000
Pb 2.228 4.274 4.016
Au 5.570 2.933 -2.008
Au 9.693 1.247 0.000
Au 5.570 0.000 2.008
Au 4.123 4.579 0.000
Au 0.000 2.893 2.008
Au 5.570 2.933 2.008
Au 1.447 1.247 4.016
Au 0.000 5.826 2.008
Au -4.123 4.579 4.016
Au 0.000 2.893 6.024
```

Properties
Formation energy from raw total energies   14 meV/atom
DOS at the Fermi energy   3.76 states/eV/f.u.